# 1
# HgIr2Pt

An optimized crystal structure of HgIr2Pt (GGA-PBEsol, the Alexandria database).

The value obtained for the formation energy is 0.398 eV/atom. The calculation puts the total energy at -25.58 eV per formula unit.

Geometry as POSCAR:
```
HgIr2Pt
1.0
-1.4574 1.5818 -1.7217
-2.9327 -3.6590 -0.8793
-0.6394 2.4273 4.9757
Hg Ir Pt
1 2 1
Direct
0.2540 0.7540 0.5081
0.0165 0.0165 0.0331
0.7426 0.2426 0.4852
0.4869 0.4869 0.9737
```

# 2
# HgIrPt2

An optimized crystal structure of HgIrPt2 (GGA-PBEsol, the Alexandria database).

The value obtained for the formation energy is 0.260 eV/atom. The calculation puts the total energy at -23.28 eV per formula unit.

Geometry as POSCAR:
```
HgIrPt2
1.0
4.0130 0.0000 0.0000
0.0000 4.0130 0.0000
-2.0065 -2.0065 3.9266
Hg Ir Pt
1 1 2
Direct
0.5000 0.5000 0.0000
0.0000 0.0000 0.0000
0.7500 0.2500 0.5000
0.2500 0.7500 0.5000
```

# 3
# HgIrPt2

An optimized crystal structure of HgIrPt2 (GGA-PBEsol, the Alexandria database).

The value obtained for the formation energy is 0.288 eV/atom. The calculation puts the total energy at -23.17 eV per formula unit.

Geometry as POSCAR:
```
HgIrPt2
1.0
-1.7978 -1.8928 -0.9193
3.4040 -1.8712 -2.8042
1.3022 -2.9658 3.5598
Hg Ir Pt
1 1 2
Direct
0.5000 0.0000 0.5000
0.0000 0.5000 0.5000
0.0000 0.0000 0.0000
0.5000 0.5000 0.0000
```

# 4
# Re2HgIr

An optimized crystal structure of Re2HgIr (GGA-PBEsol, the Alexandria database).

The value obtained for the formation energy is 0.339 eV/atom. The calculation puts the total energy at -35.70 eV per formula unit.

Geometry as POSCAR:
```
Re2HgIr
1.0
2.7750 0.0000 0.0000
1.3875 2.4032 0.0000
1.3875 0.8011 9.3114
Hg Ir Re
1 1 2
Direct
0.5000 0.5000 0.5000
0.0000 0.0000 0.0000
0.2559 0.2559 0.2324
0.7441 0.7441 0.7676
```

# 5
# ReHg2Ir

An optimized crystal structure of ReHg2Ir (GGA-PBEsol, the Alexandria database).

The value obtained for the formation energy is 0.969 eV/atom. The calculation puts the total energy at -20.41 eV per formula unit.

Geometry as POSCAR:
```
ReHg2Ir
1.0
-2.9242 -2.7948 -2.1293
-3.1562 -2.2688 2.4056
-4.4098 1.1491 -0.3589
Hg Ir Re
2 1 1
Direct
0.2500 0.2500 0.2500
0.7500 0.7500 0.7500
0.0000 0.0000 0.0000
0.5000 0.5000 0.5000
```

# 6
# ReHgIr2

An optimized crystal structure of ReHgIr2 (GGA-PBEsol, the Alexandria database).

The value obtained for the formation energy is 0.025 eV/atom. The calculation puts the total energy at -33.44 eV per formula unit.

Geometry as POSCAR:
```
ReHgIr2
1.0
2.7994 0.0000 0.0000
0.0000 2.7994 0.0000
0.0000 0.0000 7.9200
Hg Ir Re
1 2 1
Direct
0.5000 0.5000 0.5000
0.0000 0.0000 0.7764
0.0000 0.0000 0.2236
0.5000 0.5000 0.0000
```

# 7
# ReHg2Ir

An optimized crystal structure of ReHg2Ir (GGA-PBEsol, the Alexandria database).

The value obtained for the formation energy is 0.672 eV/atom. The calculation puts the total energy at -21.60 eV per formula unit.

Geometry as POSCAR:
```
ReHg2Ir
1.0
2.8949 0.0000 0.0000
1.4474 2.5070 0.0000
1.4474 0.8357 9.2048
Hg Ir Re
2 1 1
Direct
0.2490 0.2490 0.2529
0.7510 0.7510 0.7471
0.5000 0.5000 0.5000
0.0000 0.0000 0.0000
```

# 8
# ReHgIr

An optimized crystal structure of ReHgIr (GGA-PBEsol, the Alexandria database).

The value obtained for the formation energy is 0.759 eV/atom. The calculation puts the total energy at -21.44 eV per formula unit.

Geometry as POSCAR:
```
ReHgIr
1.0
4.2717 0.0000 0.0000
2.1359 3.6994 0.0000
2.1359 1.2331 3.4878
Hg Ir Re
1 1 1
Direct
0.5000 0.5000 0.5000
0.2500 0.2500 0.2500
0.0000 0.0000 0.0000
```

# 9
# ReHg2Ir

An optimized crystal structure of ReHg2Ir (GGA-PBEsol, the Alexandria database).

The value obtained for the formation energy is 0.962 eV/atom. The calculation puts the total energy at -20.44 eV per formula unit.

Geometry as POSCAR:
```
ReHg2Ir
1.0
2.9520 0.0000 0.0000
0.0000 4.7692 0.0000
0.0000 0.0000 4.7692
Hg Ir Re
2 1 1
Direct
0.0000 0.0000 0.5000
0.0000 0.5000 0.0000
0.5000 0.5000 0.5000
0.5000 0.0000 0.0000
```

# 10
# Re2HgIr

An optimized crystal structure of Re2HgIr (GGA-PBEsol, the Alexandria database).

The value obtained for the formation energy is 0.267 eV/atom. The calculation puts the total energy at -35.99 eV per formula unit.

Geometry as POSCAR:
```
Re2HgIr
1.0
2.8039 0.0000 0.0000
0.0000 2.8039 0.0000
0.0000 0.0000 7.9374
Hg Ir Re
1 1 2
Direct
0.0000 0.0000 0.5027
0.5000 0.5000 0.7730
0.0000 0.0000 0.9985
0.5000 0.5000 0.2258
```

# 11
# ReHgIrRh2

An optimized crystal structure of ReHgIrRh2 (GGA-PBEsol, the Alexandria database).

The value obtained for the formation energy is 1.743 eV/atom. The calculation puts the total energy at -31.28 eV per formula unit.

Geometry as POSCAR:
```
ReHgIrRh2
1.0
4.6666 0.0000 0.0000
0.0000 4.6917 0.0000
0.0000 0.0000 4.6917
Re Ir Rh Hg
1 1 2 1
Direct
0.5000 0.0000 0.0000
0.0000 0.0000 0.0000
0.0000 0.0000 0.5000
0.0000 0.5000 0.0000
0.5000 0.5000 0.5000
```

# 12
# HgIr2Rh

An optimized crystal structure of HgIr2Rh (GGA-PBEsol, the Alexandria database).

The value obtained for the formation energy is 0.574 eV/atom. The calculation puts the total energy at -26.06 eV per formula unit.

Geometry as POSCAR:
```
HgIr2Rh
1.0
4.4327 0.0000 0.0000
2.2163 3.8388 0.0000
2.2163 1.2796 3.6193
Hg Ir Rh
1 2 1
Direct
0.5000 0.5000 0.5000
0.0000 0.0000 0.0000
0.7500 0.7500 0.7500
0.2500 0.2500 0.2500
```

> Look up the formation energy of the fifth one.

0.969 eV/atom

Copy entry 12 word for word.
# HgIr2Rh

An optimized crystal structure of HgIr2Rh (GGA-PBEsol, the Alexandria database).

The value obtained for the formation energy is 0.574 eV/atom. The calculation puts the total energy at -26.06 eV per formula unit.

Geometry as POSCAR:
```
HgIr2Rh
1.0
4.4327 0.0000 0.0000
2.2163 3.8388 0.0000
2.2163 1.2796 3.6193
Hg Ir Rh
1 2 1
Direct
0.5000 0.5000 0.5000
0.0000 0.0000 0.0000
0.7500 0.7500 0.7500
0.2500 0.2500 0.2500
```

> Look up the formation energy of the second one.

0.260 eV/atom

> Which value of formation energy does entry 12 give?

0.574 eV/atom